Na2TlCd2 | PBE-GGA | relaxed

Structure (POSCAR):
```
Na2TlCd2
1.0
-1.170 4.370 -2.643
-5.352 2.753 1.727
6.811 6.795 3.029
Cd Na Tl
4 4 2
direct
0.330 0.198 0.141
0.967 0.657 0.408
0.670 0.802 0.859
0.033 0.343 0.592
0.880 0.285 0.954
0.704 0.237 0.356
0.296 0.763 0.644
0.120 0.715 0.046
0.438 0.822 0.303
0.562 0.178 0.697
```

Summary:
Formation energy from the elements, eV/atom: -0.089
Space group: No. 12
Mass density, g/cm3: 5.805
Calculated total energy, eV per atom: -1.46
Energy relative to the lowest polymorph listed for this composition, meV/atom: 7
V, Å³/atom: 27.19